# 1
! SrPrGa3 PBE optimized geometry; values from VASP
&SYSTEM
  ibrav = 0, nat = 10, ntyp = 3
/
ATOMIC_SPECIES
Sr 87.62 Sr.upf
Pr 140.91 Pr.upf
Ga 69.72 Ga.upf
CELL_PARAMETERS angstrom
2.204 -13.770 0.000
2.204 13.770 0.000
0.000 0.000 4.334
ATOMIC_POSITIONS crystal
Sr 0.201 0.799 0.750
Sr 0.799 0.201 0.250
Pr 0.067 0.933 0.250
Pr 0.933 0.067 0.750
Ga 0.338 0.662 0.750
Ga 0.387 0.613 0.250
Ga 0.477 0.523 0.250
Ga 0.523 0.477 0.750
Ga 0.613 0.387 0.750
Ga 0.662 0.338 0.250
! E_form	-569.3	meV per atom
! E	-3.678	eV/atom
! space group	Cmcm (63)



# 2
! La5DyZn3 PBE optimized geometry; values from VASP
&SYSTEM
  ibrav = 0, nat = 18, ntyp = 3
/
ATOMIC_SPECIES
La 138.91 La.upf
Dy 162.50 Dy.upf
Zn 65.41 Zn.upf
CELL_PARAMETERS angstrom
9.209 0.000 0.000
-4.605 7.975 0.000
0.000 0.000 7.050
ATOMIC_POSITIONS crystal
La 0.000 0.337 0.250
La 0.000 0.663 0.750
La 0.333 0.667 0.000
La 0.333 0.667 0.500
La 0.337 0.000 0.250
La 0.337 0.337 0.750
La 0.663 0.000 0.750
La 0.663 0.663 0.250
La 0.667 0.333 0.000
La 0.667 0.333 0.500
Dy 0.000 0.000 0.000
Dy 0.000 0.000 0.500
Zn 0.000 0.322 0.750
Zn 0.000 0.678 0.250
Zn 0.322 0.000 0.750
Zn 0.322 0.322 0.250
Zn 0.678 0.000 0.250
Zn 0.678 0.678 0.750
! E_form	-149.6	meV per atom
! E	-3.823	eV/atom
! space group	P6_3/mcm (193)



# 3
! InOsF3 PBE optimized geometry; values from VASP
&SYSTEM
  ibrav = 0, nat = 5, ntyp = 3
/
ATOMIC_SPECIES
In 114.82 In.upf
Os 190.23 Os.upf
F 19.00 F.upf
CELL_PARAMETERS angstrom
4.304 0.000 0.000
0.000 4.304 0.000
0.000 0.000 4.304
ATOMIC_POSITIONS crystal
In 0.000 0.000 0.000
Os 0.500 0.500 0.500
F 0.000 0.500 0.500
F 0.500 0.000 0.500
F 0.500 0.500 0.000
! raw formation energy	-0.76	eV/atom
! energy relative to the lowest polymorph listed for this composition	0.000	eV/atom
! E	-4.673	eV/atom
! space group	Pm-3m (221)



# 4
! PmPuHgBi PBE optimized geometry; values from VASP
&SYSTEM
  ibrav = 0, nat = 4, ntyp = 4
/
ATOMIC_SPECIES
Pm 145.00 Pm.upf
Pu 244.00 Pu.upf
Hg 200.59 Hg.upf
Bi 208.98 Bi.upf
CELL_PARAMETERS angstrom
0.000 3.861 3.861
3.861 0.000 3.861
3.861 3.861 0.000
ATOMIC_POSITIONS crystal
Pm 0.000 0.000 0.000
Pu 0.500 0.500 0.500
Hg 0.250 0.250 0.250
Bi 0.750 0.750 0.750
! E_form	-391.1	meV per atom
! E	-6.207	eV/atom
! space group	F-43m (216)



# 5
! CsBaPb2 PBE optimized geometry; values from VASP
&SYSTEM
  ibrav = 0, nat = 8, ntyp = 3
/
ATOMIC_SPECIES
Cs 132.91 Cs.upf
Ba 137.33 Ba.upf
Pb 207.20 Pb.upf
CELL_PARAMETERS angstrom
-5.092 5.092 3.512
5.092 -5.092 3.512
5.092 5.092 -3.512
ATOMIC_POSITIONS crystal
Cs 0.000 0.000 0.000
Cs 0.750 0.250 0.500
Ba 0.250 0.750 0.500
Ba 0.500 0.500 0.000
Pb 0.147 0.625 0.022
Pb 0.375 0.397 0.522
Pb 0.603 0.125 0.978
Pb 0.875 0.853 0.478
! E_form	81.3	meV per atom
! energy relative to the lowest polymorph listed for this composition	0.417	eV/atom
! E	-2.467	eV/atom
! space group	I-42d (122)



# 6
! Pm5MgSb2 PBE optimized geometry; values from VASP
&SYSTEM
  ibrav = 0, nat = 16, ntyp = 3
/
ATOMIC_SPECIES
Pm 145.00 Pm.upf
Mg 24.30 Mg.upf
Sb 121.76 Sb.upf
CELL_PARAMETERS angstrom
2.774 -6.006 0.000
2.774 6.006 0.000
0.000 0.000 15.361
ATOMIC_POSITIONS crystal
Pm 0.064 0.936 0.601
Pm 0.064 0.936 0.899
Pm 0.373 0.627 0.546
Pm 0.373 0.627 0.954
Pm 0.407 0.593 0.250
Pm 0.593 0.407 0.750
Pm 0.627 0.373 0.046
Pm 0.627 0.373 0.454
Pm 0.936 0.064 0.101
Pm 0.936 0.064 0.399
Mg 0.299 0.701 0.750
Mg 0.701 0.299 0.250
Sb 0.206 0.794 0.119
Sb 0.206 0.794 0.381
Sb 0.794 0.206 0.619
Sb 0.794 0.206 0.881
! raw formation energy	-0.34	eV/atom
! E	-4.542	eV/atom
! space group	Cmcm (63)



# 7
! Tb7Pm12In PBE optimized geometry; values from VASP
&SYSTEM
  ibrav = 0, nat = 20, ntyp = 3
/
ATOMIC_SPECIES
Tb 158.93 Tb.upf
Pm 145.00 Pm.upf
In 114.82 In.upf
CELL_PARAMETERS angstrom
5.403 3.120 6.710
-5.403 3.120 6.710
0.000 -6.239 6.710
ATOMIC_POSITIONS crystal
Tb 0.000 0.000 0.000
Tb 0.006 0.651 0.651
Tb 0.349 0.349 0.994
Tb 0.349 0.994 0.349
Tb 0.651 0.006 0.651
Tb 0.651 0.651 0.006
Tb 0.994 0.349 0.349
Pm 0.026 0.026 0.657
Pm 0.026 0.657 0.026
Pm 0.265 0.265 0.631
Pm 0.265 0.631 0.265
Pm 0.343 0.974 0.974
Pm 0.369 0.735 0.735
Pm 0.631 0.265 0.265
Pm 0.657 0.026 0.026
Pm 0.735 0.369 0.735
Pm 0.735 0.735 0.369
Pm 0.974 0.343 0.974
Pm 0.974 0.974 0.343
In 0.500 0.500 0.500
! E_form	156.1	meV per atom
! energy relative to the lowest polymorph listed for this composition	0.000	eV/atom
! E	-4.452	eV/atom
! space group	R-3m (166)



# 8
! BaGa2H PBE optimized geometry; values from VASP
&SYSTEM
  ibrav = 0, nat = 8, ntyp = 3
/
ATOMIC_SPECIES
Ba 137.33 Ba.upf
Ga 69.72 Ga.upf
H 1.01 H.upf
CELL_PARAMETERS angstrom
-3.149 3.149 4.422
3.149 -3.149 4.422
3.149 3.149 -4.422
ATOMIC_POSITIONS crystal
Ba 0.375 0.625 0.750
Ba 0.625 0.375 0.250
Ga 0.000 0.000 0.000
Ga 0.000 0.000 0.500
Ga 0.000 0.500 0.000
Ga 0.500 0.000 0.500
H 0.125 0.875 0.250
H 0.875 0.125 0.750
! energy relative to the lowest polymorph listed for this composition	0.000	eV/atom
! E	-2.824	eV/atom
! space group	I4_1/amd (141)